Compound: KIn2HgTe
Source: the Alexandria database
Functional: meta-GGA SCAN
Structure: PBEsol geometry

It has space group P4/mmm (No. 123), with a = 5.4088 Å, b = 5.4088 Å, c = 5.8967 Å, α = 90.00°, β = 90.00° and γ = 90.00°. The inequivalent atoms are K at (0.0000, 0.0000, 0.0000), In at (0.0000, 0.5000, 0.5000), Hg at (0.0000, 0.0000, 0.5000) and Te at (0.5000, 0.5000, 0.0000).

The value obtained for the volume is 172.5 Å³/cell. For the total moment, the calculation gives 0.00 μB per cell. Its uncorrected formation energy is -9.5 kJ per mole of atoms. The density of states at the Fermi level is 1.867 states/eV/f.u.